Record 1
The following is a DFT calculation (PBE-GGA) of an optimized crystal structure of La2Pr2YTm2.

Summary:
* DOS(E_F): 11.183 states/eV per cell
* energy relative to the elements: 18 kJ/mol of formula units
* calculated total energy: -4.947 eV per atom

```
data_La2Pr2YTm2
_space_group_name_H-M_alt 'P 1'
_space_group_IT_number 1
_cell_length_a 5.1691
_cell_length_b 6.3177
_cell_length_c 8.1032
_cell_angle_alpha 97.74
_cell_angle_beta 90.00
_cell_angle_gamma 114.15
loop_
_space_group_symop_operation_xyz
'x,y,z'
loop_
_atom_site_label
_atom_site_type_symbol
_atom_site_fract_x
_atom_site_fract_y
_atom_site_fract_z
La1 La 0.1441 0.2882 0.4293
La2 La 0.8559 0.7118 0.5707
Pr1 Pr 0.5719 0.1438 0.7213
Pr2 Pr 0.4281 0.8562 0.2787
Y1 Y 0.0000 0.0000 0.0000
Tm1 Tm 0.7156 0.4312 0.1377
Tm2 Tm 0.2844 0.5688 0.8623
```

Record 2
The following is a DFT calculation (PBE-GGA) of an optimized crystal structure of LiReTc2.

Summary:
* distance to the lowest polymorph of the same formula: 11.5 kJ per mole of atoms
* DOS(E_F): 2.955 states/eV per cell
* energy relative to the elements: 96 kJ/mol of formula units
* calculated total energy: -8.524 eV per atom

```
data_LiReTc2
_space_group_name_H-M_alt 'P 1'
_space_group_IT_number 1
_cell_length_a 2.6932
_cell_length_b 4.0242
_cell_length_c 5.1738
_cell_angle_alpha 90.00
_cell_angle_beta 90.00
_cell_angle_gamma 90.00
loop_
_space_group_symop_operation_xyz
'x,y,z'
loop_
_atom_site_label
_atom_site_type_symbol
_atom_site_fract_x
_atom_site_fract_y
_atom_site_fract_z
Li1 Li 0.0000 0.0000 0.4967
Re1 Re 0.5000 0.5000 0.7435
Tc1 Tc 0.0000 0.0000 0.9965
Tc2 Tc 0.5000 0.5000 0.2634
```

Q: Which value of DOS(E_F) does entry 2 give?
A: 2.955 states/eV per cell

Q: What is the DOS(E_F) in the second record?
A: 2.955 states/eV per cell